(1)
{"formula": "Eu2SiBr", "functional": "GGA-PBE", "state": "optimized geometry", "raw_formation_energy_kj_per_mol_atoms": -93, "relative_energy_ev_per_fu": 0.00, "spacegroup": "R-3m (166)", "lattice": [[4.295, 0.000, 0.000], [2.148, 3.720, 0.000], [2.148, 1.240, 7.629]], "species": ["Eu", "Eu", "Br", "Si"], "fractional_positions": [[0.741, 0.741, 0.776], [0.259, 0.259, 0.224], [0.500, 0.500, 0.500], [0.000, 0.000, 0.000]]}

---

(2)
{"formula": "SmGd2Fe", "functional": "GGA-PBE", "state": "optimized geometry", "relative_energy_ev_per_fu": 0.00, "spacegroup": "P4/mmm (123)", "delta_e_f_kj_per_mol_atoms": 8.1, "lattice": [[-1.680, -2.736, 1.259], [2.795, -1.954, -0.518], [2.932, 2.004, 8.266]], "species": ["Fe", "Sm", "Gd", "Gd"], "fractional_positions": [[0.500, 0.500, 0.000], [0.500, 0.500, 0.500], [0.000, 0.000, 0.817], [0.000, 0.000, 0.183]]}

---

no.,energy (eV/cell)
1,-31.502
2,-41.008